Arrangement a

YMgI2: relaxed, PBE.

Lattice parameters (Å, degrees): 5.496 5.496 5.496 60.00 60.00 60.00
Site moments in Bohr magnetons follow the coordinates.
Sites, in units of the cell vectors:
I (0.250, 0.250, 0.250)  -0.01
I (0.750, 0.750, 0.750)  -0.01
Y (0.500, 0.500, 0.500)  0.45
Mg (0.000, 0.000, 0.000)  0.00

Computed properties:
volume: 117 Å³ per cell

***

Arrangement b

YMgI2: relaxed, PBE.

Lattice parameters (Å, degrees): 10.627 10.627 8.206 49.65 49.65 90.00
Sites, in units of the cell vectors:
I (0.757, 0.125, 0.250)
I (0.993, 0.625, 0.250)
I (0.375, 0.243, 0.750)
I (0.875, 0.007, 0.750)
Y (0.000, 0.000, 0.000)
Y (0.750, 0.250, 0.500)
Mg (0.500, 0.500, 0.000)
Mg (0.250, 0.750, 0.500)

Computed properties:
volume: 372 Å³ per cell

***

Most favorable first, least favorable last: arrangement b, arrangement a

***

Arrangement a

YMg3I: relaxed, PBE.

Lattice parameters (Å, degrees): 5.580 5.580 5.580 90.00 90.00 90.00
Site moments in Bohr magnetons follow the coordinates.
Sites, in units of the cell vectors:
I (0.000, 0.000, 0.000)  0.04
Y (0.500, 0.500, 0.500)  0.14
Mg (0.000, 0.500, 0.000)  0.02
Mg (0.000, 0.000, 0.500)  0.01
Mg (0.500, 0.000, 0.000)  0.01

Computed properties:
volume: 174 Å³ per cell

***

Arrangement b

YMg3I: relaxed, PBE.

Lattice parameters (Å, degrees): 6.287 6.287 6.287 90.00 90.00 90.00
Sites, in units of the cell vectors:
I (0.500, 0.500, 0.500)
Y (0.000, 0.000, 0.000)
Mg (0.000, 0.500, 0.000)
Mg (0.000, 0.000, 0.500)
Mg (0.500, 0.000, 0.000)

Computed properties:
volume: 249 Å³ per cell

***

Most favorable first, least favorable last: arrangement a, arrangement b

***

Arrangement a

MgZnI3: relaxed, PBE.

Lattice parameters (Å, degrees): 5.589 5.589 5.589 90.00 90.00 90.00
Sites, in units of the cell vectors:
I (0.000, 0.500, 0.000)
I (0.000, 0.000, 0.500)
I (0.500, 0.000, 0.000)
Zn (0.000, 0.000, 0.000)
Mg (0.500, 0.500, 0.500)

Computed properties:
volume: 175 Å³ per cell

***

Arrangement b

MgZnI3: relaxed, PBE.

Lattice parameters (Å, degrees): 5.754 5.754 5.754 90.00 90.00 90.00
Site moments in Bohr magnetons follow the coordinates.
Sites, in units of the cell vectors:
I (0.000, 0.500, 0.000)  0.12
I (0.000, 0.000, 0.500)  0.08
I (0.500, 0.000, 0.000)  0.06
Zn (0.500, 0.500, 0.500)  0.26
Mg (0.000, 0.000, 0.000)  0.00

Computed properties:
volume: 190 Å³ per cell

***

Most favorable first, least favorable last: arrangement b, arrangement a

***

Arrangement a

Mg3ZrI: relaxed, PBE.

Lattice parameters (Å, degrees): 5.434 5.434 5.434 90.00 90.00 90.00
Site moments in Bohr magnetons follow the coordinates.
Sites, in units of the cell vectors:
I (0.000, 0.000, 0.000)  0.10
Mg (0.000, 0.500, 0.000)  0.03
Mg (0.000, 0.000, 0.500)  0.01
Mg (0.500, 0.000, 0.000)  0.01
Zr (0.500, 0.500, 0.500)  1.20

Computed properties:
volume: 160 Å³ per cell

***

Arrangement b

Mg3ZrI: relaxed, PBE.

Lattice parameters (Å, degrees): 5.900 5.900 5.900 90.00 90.00 90.00
Site moments in Bohr magnetons follow the coordinates.
Sites, in units of the cell vectors:
I (0.500, 0.500, 0.500)  0.02
Mg (0.000, 0.500, 0.000)  0.01
Mg (0.000, 0.000, 0.500)  0.00
Mg (0.500, 0.000, 0.000)  0.05
Zr (0.000, 0.000, 0.000)  1.40

Computed properties:
volume: 205 Å³ per cell

***

Most favorable first, least favorable last: arrangement b, arrangement a

***

Arrangement a

MgZr2I: relaxed, PBE.

Lattice parameters (Å, degrees): 4.285 4.285 11.365 79.13 79.13 90.00
Sites, in units of the cell vectors:
I (0.000, 0.000, 0.000)
I (0.750, 0.250, 0.500)
Mg (0.500, 0.500, 0.000)
Mg (0.250, 0.750, 0.500)
Zr (0.623, 0.125, 0.250)
Zr (0.127, 0.625, 0.250)
Zr (0.375, 0.377, 0.750)
Zr (0.875, 0.873, 0.750)

Computed properties:
volume: 201 Å³ per cell

***

Arrangement b

MgZr2I: relaxed, PBE.

Lattice parameters (Å, degrees): 5.072 5.072 5.072 60.00 60.00 60.00
Sites, in units of the cell vectors:
I (0.500, 0.500, 0.500)
Mg (0.000, 0.000, 0.000)
Zr (0.250, 0.250, 0.250)
Zr (0.750, 0.750, 0.750)

Computed properties:
volume: 92 Å³ per cell

***

Most favorable first, least favorable last: arrangement a, arrangement b

***

Arrangement a

MnI: relaxed, PBE.

Lattice parameters (Å, degrees): 4.195 4.195 7.822 90.00 90.00 120.00
Site moments in Bohr magnetons follow the coordinates.
Sites, in units of the cell vectors:
Mn (0.333, 0.667, 0.371)  3.76
Mn (0.667, 0.333, 0.871)  3.76
I (0.333, 0.667, 0.711)  0.03
I (0.667, 0.333, 0.211)  0.03

Computed properties:
volume: 119 Å³ per cell

***

Arrangement b

MnI: relaxed, PBE.

Lattice parameters (Å, degrees): 5.875 5.875 5.875 90.00 90.00 90.00
Site moments in Bohr magnetons follow the coordinates.
Sites, in units of the cell vectors:
Mn (0.000, 0.000, 0.000)  3.94
Mn (0.000, 0.500, 0.500)  3.94
Mn (0.500, 0.000, 0.500)  3.94
Mn (0.500, 0.500, 0.000)  3.94
I (0.500, 0.500, 0.500)  0.06
I (0.500, 0.000, 0.000)  0.06
I (0.000, 0.500, 0.000)  0.06
I (0.000, 0.000, 0.500)  0.06

Computed properties:
volume: 203 Å³ per cell

***

Arrangement c

MnI: relaxed, PBE.

Lattice parameters (Å, degrees): 7.705 7.705 7.705 90.00 90.00 90.00
Site moments in Bohr magnetons follow the coordinates.
Sites, in units of the cell vectors:
Mn (0.250, 0.000, 0.500)  3.67
Mn (0.750, 0.000, 0.500)  3.67
Mn (0.000, 0.500, 0.250)  3.67
Mn (0.000, 0.500, 0.750)  3.67
Mn (0.500, 0.250, 0.000)  3.67
Mn (0.500, 0.750, 0.000)  3.67
I (0.250, 0.500, 0.000)  0.02
I (0.750, 0.500, 0.000)  0.02
I (0.500, 0.000, 0.250)  0.02
I (0.500, 0.000, 0.750)  0.02
I (0.000, 0.250, 0.500)  0.02
I (0.000, 0.750, 0.500)  0.02

Computed properties:
volume: 457 Å³ per cell

***

Most favorable first, least favorable last: arrangement a, arrangement b, arrangement c

***

Arrangement a

MnI: relaxed, PBE.

Lattice parameters (Å, degrees): 6.244 6.244 6.244 90.00 90.00 90.00
Site moments in Bohr magnetons follow the coordinates.
Sites, in units of the cell vectors:
Mn (0.250, 0.250, 0.250)  3.73
Mn (0.250, 0.750, 0.750)  3.73
Mn (0.750, 0.250, 0.750)  3.73
Mn (0.750, 0.750, 0.250)  3.73
I (0.000, 0.000, 0.000)  0.02
I (0.000, 0.500, 0.500)  0.02
I (0.500, 0.000, 0.500)  0.02
I (0.500, 0.500, 0.000)  0.02

Computed properties:
volume: 243 Å³ per cell

***

Arrangement b

MnI: relaxed, PBE.

Lattice parameters (Å, degrees): 3.895 6.814 14.949 90.00 90.00 90.00
Site moments in Bohr magnetons follow the coordinates.
Sites, in units of the cell vectors:
Mn (0.000, 0.091, 0.694)  4.08
Mn (0.500, 0.909, 0.806)  4.08
Mn (0.500, 0.909, 0.194)  4.08
Mn (0.000, 0.091, 0.306)  4.08
Mn (0.000, 0.378, 0.000)  4.09
Mn (0.500, 0.622, 0.500)  4.09
I (0.000, 0.621, 0.858)  0.06
I (0.500, 0.379, 0.642)  0.06
I (0.500, 0.379, 0.358)  0.06
I (0.000, 0.621, 0.142)  0.06
I (0.000, 0.906, 0.500)  0.06
I (0.500, 0.094, 0.000)  0.06

Computed properties:
volume: 397 Å³ per cell

***

Arrangement c

MnI: relaxed, PBE.

Lattice parameters (Å, degrees): 11.865 11.865 3.790 90.00 90.00 90.00
Site moments in Bohr magnetons follow the coordinates.
Sites, in units of the cell vectors:
Mn (0.445, 0.077, 0.000)  1.30
Mn (0.555, 0.923, 0.000)  1.30
Mn (0.923, 0.445, 0.000)  1.30
Mn (0.077, 0.555, 0.000)  1.30
Mn (0.945, 0.577, 0.500)  1.30
Mn (0.055, 0.423, 0.500)  1.30
Mn (0.423, 0.945, 0.500)  1.30
Mn (0.577, 0.055, 0.500)  1.30
I (0.266, 0.936, 0.000)  -0.03
I (0.734, 0.064, 0.000)  -0.03
I (0.064, 0.266, 0.000)  -0.03
I (0.936, 0.734, 0.000)  -0.03
I (0.766, 0.436, 0.500)  -0.03
I (0.234, 0.564, 0.500)  -0.03
I (0.564, 0.766, 0.500)  -0.03
I (0.436, 0.234, 0.500)  -0.03

Computed properties:
volume: 534 Å³ per cell

***

Arrangement d

MnI: relaxed, PBE.

Lattice parameters (Å, degrees): 11.263 3.788 8.073 90.00 90.00 90.00
Site moments in Bohr magnetons follow the coordinates.
Sites, in units of the cell vectors:
Mn (0.874, 0.248, 0.595)  3.75
Mn (0.626, 0.752, 0.095)  3.75
Mn (0.126, 0.248, 0.595)  3.75
Mn (0.374, 0.752, 0.095)  3.75
Mn (0.000, 0.747, 0.398)  3.84
Mn (0.500, 0.253, 0.898)  3.84
I (0.815, 0.244, 0.272)  0.03
I (0.685, 0.756, 0.772)  0.03
I (0.185, 0.244, 0.272)  0.03
I (0.315, 0.756, 0.772)  0.03
I (0.000, 0.257, 0.869)  0.02
I (0.500, 0.743, 0.369)  0.02

Computed properties:
volume: 344 Å³ per cell

***

Most favorable first, least favorable last: arrangement c, arrangement d, arrangement b, arrangement a

***

Arrangement a

MnI: relaxed, PBE.

Lattice parameters (Å, degrees): 10.022 10.022 3.687 90.00 90.00 120.00
Site moments in Bohr magnetons follow the coordinates.
Sites, in units of the cell vectors:
Mn (0.557, 0.003, 0.250)  -0.07
Mn (0.554, 0.557, 0.750)  -0.07
Mn (0.997, 0.554, 0.250)  -0.07
Mn (0.443, 0.997, 0.750)  -0.07
Mn (0.446, 0.443, 0.250)  -0.07
Mn (0.003, 0.446, 0.750)  -0.07
I (0.846, 0.233, 0.250)  0.00
I (0.614, 0.846, 0.750)  0.00
I (0.767, 0.614, 0.250)  0.00
I (0.154, 0.767, 0.750)  0.00
I (0.386, 0.154, 0.250)  0.00
I (0.233, 0.386, 0.750)  0.00

Computed properties:
volume: 321 Å³ per cell

***

Arrangement b

MnI: relaxed, PBE.

Lattice parameters (Å, degrees): 8.823 12.234 8.634 90.00 90.00 90.00
Site moments in Bohr magnetons follow the coordinates.
Sites, in units of the cell vectors:
Mn (0.000, 0.889, 0.000)  3.67
Mn (0.000, 0.111, 0.000)  3.67
Mn (0.250, 0.861, 0.250)  3.67
Mn (0.250, 0.639, 0.250)  3.67
Mn (0.000, 0.389, 0.500)  3.67
Mn (0.000, 0.611, 0.500)  3.67
Mn (0.250, 0.361, 0.750)  3.67
Mn (0.250, 0.139, 0.750)  3.67
Mn (0.500, 0.889, 0.500)  3.67
Mn (0.500, 0.111, 0.500)  3.67
Mn (0.750, 0.861, 0.750)  3.67
Mn (0.750, 0.639, 0.750)  3.67
Mn (0.500, 0.389, 0.000)  3.67
Mn (0.500, 0.611, 0.000)  3.67
Mn (0.750, 0.361, 0.250)  3.67
Mn (0.750, 0.139, 0.250)  3.67
I (0.271, 0.000, 0.000)  0.06
I (0.729, 0.000, 0.000)  0.06
I (0.979, 0.750, 0.250)  0.06
I (0.521, 0.750, 0.250)  0.06
I (0.271, 0.500, 0.500)  0.06
I (0.729, 0.500, 0.500)  0.06
I (0.979, 0.250, 0.750)  0.06
I (0.521, 0.250, 0.750)  0.06
I (0.771, 0.000, 0.500)  0.06
I (0.229, 0.000, 0.500)  0.06
I (0.479, 0.750, 0.750)  0.06
I (0.021, 0.750, 0.750)  0.06
I (0.771, 0.500, 0.000)  0.06
I (0.229, 0.500, 0.000)  0.06
I (0.479, 0.250, 0.250)  0.06
I (0.021, 0.250, 0.250)  0.06

Computed properties:
volume: 932 Å³ per cell

***

Most favorable first, least favorable last: arrangement b, arrangement a